No. 1
DFT (PBE) results for a relaxed structure of Li3ZnTc.

Cell and atoms, written as CIF:
```
data_Li3ZnTc
_cell_length_a 4.9071
_cell_length_b 4.9071
_cell_length_c 4.9071
_cell_angle_alpha 90.00
_cell_angle_beta 90.00
_cell_angle_gamma 90.00
_space_group_name_H-M_alt 'P m -3 m'
_space_group_IT_number 221
_space_group_name_Hall '-P 4 2 3'
loop_
_atom_site_label
_atom_site_fract_x
_atom_site_fract_y
_atom_site_fract_z
Li1 0.0000 0.0000 0.5000
Zn1 0.5000 0.5000 0.5000
Tc1 0.0000 0.0000 0.0000
```

**Calculated density**: 2.59 Mg/m³
**Energy above the lowest structure with this stoichiometry**: 0.70 eV/f.u.
**DOS(E_F)**: 4.2 states/eV/f.u.
**Electronic total energy**: -2.37 eV per atom

---

No. 2
DFT (PBE) results for a relaxed structure of Tb8Pm2Er3.

Cell and atoms, written as CIF:
```
data_Tb8Pm2Er3
_cell_length_a 11.7065
_cell_length_b 20.7090
_cell_length_c 3.5100
_cell_angle_alpha 90.00
_cell_angle_beta 90.00
_cell_angle_gamma 90.00
_space_group_name_H-M_alt 'P b a m'
_space_group_IT_number 55
loop_
_space_group_symop_operation_xyz
'x,y,z'
'-x,-y,-z'
'-x,-y,z'
'x,y,-z'
'x+1/2,-y+1/2,-z'
'-x+1/2,y+1/2,z'
'-x+1/2,y+1/2,-z'
'x+1/2,-y+1/2,z'
loop_
_atom_site_label
_atom_site_fract_x
_atom_site_fract_y
_atom_site_fract_z
Tb1 0.0457 0.0716 0.0000
Tb2 0.0520 0.3416 0.5000
Tb3 0.1275 0.7845 0.0000
Tb4 0.2091 0.9466 0.5000
Pm1 0.1799 0.5994 0.0000
Er1 0.0000 0.5000 0.5000
Er2 0.1444 0.2012 0.5000
```

**Calculated density**: 8.05 Mg/m³
**Energy above the lowest structure with this stoichiometry**: 0.00 eV/f.u.
**DOS(E_F)**: 19.7 states/eV/f.u.
**Electronic total energy**: -4.48 eV per atom

---

No. 3
DFT (PBE) results for a relaxed structure of TbHoCu.

Cell and atoms, written as CIF:
```
data_TbHoCu
_cell_length_a 3.6946
_cell_length_b 6.5345
_cell_length_c 6.8889
_cell_angle_alpha 97.17
_cell_angle_beta 105.55
_cell_angle_gamma 106.40
_space_group_name_H-M_alt 'P -1'
_space_group_IT_number 2
loop_
_space_group_symop_operation_xyz
'x,y,z'
'-x,-y,-z'
loop_
_atom_site_label
_atom_site_fract_x
_atom_site_fract_y
_atom_site_fract_z
Tb1 0.0921 0.2489 0.4366
Ho1 0.2112 0.8092 0.1132
Cu1 0.4478 0.5681 0.8272
```

**Calculated density**: 8.57 Mg/m³
**Energy above the lowest structure with this stoichiometry**: 0.05 eV/f.u.
**DOS(E_F)**: 3.1 states/eV/f.u.
**Electronic total energy**: -4.58 eV per atom

---

No. 4
DFT (PBE) results for a relaxed structure of La2Pm4SmEr2.

Cell and atoms, written as CIF:
```
data_La2Pm4SmEr2
_cell_length_a 19.0332
_cell_length_b 3.6765
_cell_length_c 9.7395
_cell_angle_alpha 90.00
_cell_angle_beta 115.80
_cell_angle_gamma 90.00
_space_group_name_H-M_alt 'C 1 2/m 1'
_space_group_IT_number 12
loop_
_space_group_symop_operation_xyz
'x,y,z'
'-x,-y,-z'
'-x,y,-z'
'x,-y,z'
'x+1/2,y+1/2,z'
'-x+1/2,-y+1/2,-z'
'-x+1/2,y+1/2,-z'
'x+1/2,-y+1/2,z'
loop_
_atom_site_label
_atom_site_fract_x
_atom_site_fract_y
_atom_site_fract_z
La1 0.1664 0.0000 0.4978
Pm1 0.0190 0.0000 0.8374
Pm2 0.1865 0.5000 0.8351
Sm1 0.0000 0.5000 0.5000
Er1 0.1476 0.5000 0.1646
```

**Calculated density**: 7.27 Mg/m³
**DOS(E_F)**: 12.9 states/eV/f.u.
**Electronic total energy**: -4.74 eV per atom

---

No. 5
DFT (PBE) results for a relaxed structure of Tb3Si3Ni2.

Cell and atoms, written as CIF:
```
data_Tb3Si3Ni2
_cell_length_a 4.1660
_cell_length_b 10.1886
_cell_length_c 13.9580
_cell_angle_alpha 90.00
_cell_angle_beta 90.00
_cell_angle_gamma 90.00
_space_group_name_H-M_alt 'C m c m'
_space_group_IT_number 63
_space_group_name_Hall '-C 2c 2'
loop_
_atom_site_label
_atom_site_fract_x
_atom_site_fract_y
_atom_site_fract_z
Tb1 0.0000 0.0896 0.1097
Tb2 0.0000 0.3722 0.2500
Si1 0.0000 0.3263 0.7500
Si2 0.0000 0.3804 0.0379
Ni1 0.0000 0.2023 0.5958
```

**Calculated density**: 7.61 Mg/m³
**E_form (uncorrected)**: -6.47 eV/f.u.
**DOS(E_F)**: 3.2 states/eV/f.u.
**Electronic total energy**: -6.02 eV per atom

---

No. 6
DFT (PBE) results for a relaxed structure of Pr5Tm2In5.

Cell and atoms, written as CIF:
```
data_Pr5Tm2In5
_cell_length_a 11.8626
_cell_length_b 5.2752
_cell_length_c 12.2508
_cell_angle_alpha 90.00
_cell_angle_beta 110.14
_cell_angle_gamma 90.00
_space_group_name_H-M_alt 'C 1 2/m 1'
_space_group_IT_number 12
loop_
_space_group_symop_operation_xyz
'x,y,z'
'-x,-y,-z'
'-x,y,-z'
'x,-y,z'
'x+1/2,y+1/2,z'
'-x+1/2,-y+1/2,-z'
'-x+1/2,y+1/2,-z'
'x+1/2,-y+1/2,z'
loop_
_atom_site_label
_atom_site_fract_x
_atom_site_fract_y
_atom_site_fract_z
Pr1 0.0000 0.0000 0.0000
Pr2 0.1380 0.0000 0.7718
Pr3 0.1569 0.0000 0.4977
Tm1 0.0705 0.5000 0.2569
In1 0.0000 0.5000 0.5000
In2 0.1719 0.5000 0.9592
In3 0.2219 0.0000 0.2653
```

**Calculated density**: 7.46 Mg/m³
**DOS(E_F)**: 12.6 states/eV/f.u.
**Electronic total energy**: -4.19 eV per atom

---

No. 7
DFT (PBE) results for a relaxed structure of SiSb2Pt.

Cell and atoms, written as CIF:
```
data_SiSb2Pt
_cell_length_a 5.1698
_cell_length_b 5.1698
_cell_length_c 3.0731
_cell_angle_alpha 90.00
_cell_angle_beta 90.00
_cell_angle_gamma 90.00
_space_group_name_H-M_alt 'P 4/m m m'
_space_group_IT_number 123
_space_group_name_Hall '-P 4 2'
loop_
_atom_site_label
_atom_site_fract_x
_atom_site_fract_y
_atom_site_fract_z
Si1 0.0000 0.0000 0.0000
Sb1 0.0000 0.5000 0.5000
Pt1 0.5000 0.5000 0.0000
```

**Calculated density**: 9.44 Mg/m³
**E_form (uncorrected)**: 0.96 eV/f.u.
**DOS(E_F)**: 2.3 states/eV/f.u.
**Electronic total energy**: -4.69 eV per atom

---

No. 8
DFT (PBE) results for a relaxed structure of NdRh2Pb.

Cell and atoms, written as CIF:
```
data_NdRh2Pb
_cell_length_a 5.5995
_cell_length_b 4.4112
_cell_length_c 7.1304
_cell_angle_alpha 90.00
_cell_angle_beta 90.00
_cell_angle_gamma 90.00
_space_group_name_H-M_alt 'P m m a'
_space_group_IT_number 51
loop_
_space_group_symop_operation_xyz
'x,y,z'
'-x,-y,-z'
'-x+1/2,-y,z'
'x+1/2,y,-z'
'x+1/2,-y,-z'
'-x+1/2,y,z'
'-x,y,-z'
'x,-y,z'
loop_
_atom_site_label
_atom_site_fract_x
_atom_site_fract_y
_atom_site_fract_z
Nd1 0.2500 0.0000 0.2438
Rh1 0.0000 0.5000 0.5000
Rh2 0.2500 0.0000 0.6363
Pb1 0.2500 0.5000 0.8610
```

**Calculated density**: 10.51 Mg/m³
**DOS(E_F)**: 3.2 states/eV/f.u.
**Electronic total energy**: -6.30 eV per atom

---

No. 9
DFT (PBE) results for a relaxed structure of Ho2Be2GaPt5.

Cell and atoms, written as CIF:
```
data_Ho2Be2GaPt5
_cell_length_a 9.4792
_cell_length_b 9.4792
_cell_length_c 3.5275
_cell_angle_alpha 90.00
_cell_angle_beta 90.00
_cell_angle_gamma 90.00
_space_group_name_H-M_alt 'P 4/m b m'
_space_group_IT_number 127
_space_group_name_Hall '-P 4 2ab'
loop_
_atom_site_label
_atom_site_fract_x
_atom_site_fract_y
_atom_site_fract_z
Ho1 0.1780 0.3220 0.0000
Be1 0.1191 0.6191 0.0000
Ga1 0.0000 0.0000 0.0000
Pt1 0.0000 0.5000 0.5000
Pt2 0.0670 0.7870 0.5000
```

**Calculated density**: 14.60 Mg/m³
**DOS(E_F)**: 3.8 states/eV/f.u.
**Electronic total energy**: -5.98 eV per atom

---

No. 10
DFT (PBE) results for a relaxed structure of Tb6PrDy2.

Cell and atoms, written as CIF:
```
data_Tb6PrDy2
_cell_length_a 11.5717
_cell_length_b 3.4593
_cell_length_c 15.2966
_cell_angle_alpha 90.00
_cell_angle_beta 100.83
_cell_angle_gamma 90.00
_space_group_name_H-M_alt 'C 1 2/m 1'
_space_group_IT_number 12
loop_
_space_group_symop_operation_xyz
'x,y,z'
'-x,-y,-z'
'-x,y,-z'
'x,-y,z'
'x+1/2,y+1/2,z'
'-x+1/2,-y+1/2,-z'
'-x+1/2,y+1/2,-z'
'x+1/2,-y+1/2,z'
loop_
_atom_site_label
_atom_site_fract_x
_atom_site_fract_y
_atom_site_fract_z
Tb1 0.0403 0.0000 0.2331
Tb2 0.1265 0.5000 0.4379
Tb3 0.2065 0.5000 0.8945
Pr1 0.0000 0.0000 0.0000
Dy1 0.1673 0.5000 0.6659
```

**Calculated density**: 7.84 Mg/m³
**Energy above the lowest structure with this stoichiometry**: 0.00 eV/f.u.
**DOS(E_F)**: 19.4 states/eV/f.u.
**Electronic total energy**: -4.44 eV per atom

---

No. 11
DFT (PBE) results for a relaxed structure of Ca2Nd2Pd4Au.

Cell and atoms, written as CIF:
```
data_Ca2Nd2Pd4Au
_cell_length_a 7.1327
_cell_length_b 7.1327
_cell_length_c 8.8502
_cell_angle_alpha 90.00
_cell_angle_beta 90.00
_cell_angle_gamma 90.00
_space_group_name_H-M_alt 'I 4/m m m'
_space_group_IT_number 139
_space_group_name_Hall '-I 4 2'
loop_
_atom_site_label
_atom_site_fract_x
_atom_site_fract_y
_atom_site_fract_z
Ca1 0.0000 0.5000 0.2500
Nd1 0.0000 0.0000 0.1909
Pd1 0.2302 0.2302 0.0000
Au1 0.0000 0.0000 0.5000
```

**Calculated density**: 7.31 Mg/m³
**DOS(E_F)**: 5.4 states/eV/f.u.
**Electronic total energy**: -4.60 eV per atom

---

No. 12
DFT (PBE) results for a relaxed structure of YTmAlCd.

Cell and atoms, written as CIF:
```
data_YTmAlCd
_cell_length_a 7.3124
_cell_length_b 7.3124
_cell_length_c 7.3124
_cell_angle_alpha 90.00
_cell_angle_beta 90.00
_cell_angle_gamma 90.00
_space_group_name_H-M_alt 'F -4 3 m'
_space_group_IT_number 216
_space_group_name_Hall 'F -4 2 3'
loop_
_atom_site_label
_atom_site_fract_x
_atom_site_fract_y
_atom_site_fract_z
Y1 0.0000 0.0000 0.0000
Tm1 0.0000 0.0000 0.5000
Al1 0.2500 0.2500 0.7500
Cd1 0.2500 0.2500 0.2500
```

**Calculated density**: 6.75 Mg/m³
**Energy above the lowest structure with this stoichiometry**: 0.06 eV/f.u.
**DOS(E_F)**: 3.4 states/eV/f.u.
**Electronic total energy**: -4.26 eV per atom

---

Question: Look up the DOS(E_F) of the fifth one.
Answer: 3.2 states/eV/f.u.

---

Question: Look up the DOS(E_F) of the fourth one.
Answer: 12.9 states/eV/f.u.

---

Question: Look up the electronic total energy of the fifth one.
Answer: -6.02 eV per atom